(1)
# Zn2SiOs

Zn2SiOs after structural relaxation (GGA-PBE, the Open Quantum Materials Database).

Cell: 4.2664 4.2664 4.2664 Å, 60.00 60.00 60.00°
Fractional coordinates of all 4 atoms:
1 Zn 0.0000 0.0000 0.0000
2 Zn 0.2500 0.2500 0.2500
3 Si 0.5000 0.5000 0.5000
4 Os 0.7500 0.7500 0.7500

## Properties
Space-group type = No. 216
Calculated total energy = -18.220 eV per formula unit

=====

(2)
# ZrSiOs

ZrSiOs after structural relaxation (GGA-PBE, the Open Quantum Materials Database).

Cell: 6.4527 4.0685 7.4789 Å, 90.00 90.00 90.00°
Fractional coordinates of all 12 atoms:
1 Zr 0.0120 0.2500 0.1834
2 Zr 0.4880 0.7500 0.6834
3 Zr 0.5120 0.2500 0.3166
4 Zr 0.9880 0.7500 0.8166
5 Si 0.2118 0.7500 0.3784
6 Si 0.2882 0.2500 0.8784
7 Si 0.7118 0.7500 0.1216
8 Si 0.7882 0.2500 0.6216
9 Os 0.1615 0.2500 0.5595
10 Os 0.3385 0.7500 0.0595
11 Os 0.6615 0.2500 0.9405
12 Os 0.8385 0.7500 0.4405

## Properties
Space-group type = No. 62
Calculated total energy = -27.698 eV per formula unit